A plane-wave DFT calculation with PBE was carried out for TcIrNO after structural relaxation.

Calculated values
V (Å³ per atom): 11.4
Uncorrected energy (eV per atom): -8.228

Geometry as CIF:
```
data_TcIrNO
_chemical_formula_sum 'Tc2 Ir2 N2 O2'
_cell_length_a 2.783
_cell_length_b 6.030
_cell_length_c 5.453
_cell_angle_alpha 90.00
_cell_angle_beta 90.00
_cell_angle_gamma 90.00
_space_group_name_H-M_alt 'P 1'
_space_group_IT_number 1
loop_
_space_group_symop_operation_xyz
'x,y,z'
loop_
_atom_site_label
_atom_site_type_symbol
_atom_site_fract_x
_atom_site_fract_y
_atom_site_fract_z
Tc1 Tc 0.000 0.217 0.000
Tc2 Tc 0.000 0.783 0.500
Ir1 Ir 0.500 0.380 0.398
Ir2 Ir 0.500 0.620 0.898
N1 N 0.500 0.319 0.761
N2 N 0.500 0.681 0.261
O1 O 0.000 0.080 0.360
O2 O 0.000 0.920 0.860
```

=====

A plane-wave DFT calculation with PBE was carried out for TcIrNO after structural relaxation.

Calculated values
V (Å³ per atom): 11.5
Uncorrected energy (eV per atom): -8.292

Geometry as CIF:
```
data_TcIrNO
_chemical_formula_sum 'Tc2 Ir2 N2 O2'
_cell_length_a 2.755
_cell_length_b 5.947
_cell_length_c 5.635
_cell_angle_alpha 90.00
_cell_angle_beta 90.00
_cell_angle_gamma 90.00
_space_group_name_H-M_alt 'P 1'
_space_group_IT_number 1
loop_
_space_group_symop_operation_xyz
'x,y,z'
loop_
_atom_site_label
_atom_site_type_symbol
_atom_site_fract_x
_atom_site_fract_y
_atom_site_fract_z
Tc1 Tc 0.000 0.123 0.000
Tc2 Tc 0.000 0.877 0.500
Ir1 Ir 0.500 0.276 0.588
Ir2 Ir 0.500 0.724 0.088
N1 N 0.000 0.174 0.344
N2 N 0.000 0.826 0.844
O1 O 0.500 0.375 0.945
O2 O 0.500 0.625 0.445
```

=====

A plane-wave DFT calculation with PBE was carried out for TlIrNO after structural relaxation.

Calculated values
V (Å³ per atom): 14.5
Uncorrected energy (eV per atom): -5.700

Geometry as CIF:
```
data_TlIrNO
_chemical_formula_sum 'Tl2 Ir2 N2 O2'
_cell_length_a 3.948
_cell_length_b 3.948
_cell_length_c 7.419
_cell_angle_alpha 90.00
_cell_angle_beta 90.00
_cell_angle_gamma 90.00
_space_group_name_H-M_alt 'P 1'
_space_group_IT_number 1
loop_
_space_group_symop_operation_xyz
'x,y,z'
loop_
_atom_site_label
_atom_site_type_symbol
_atom_site_fract_x
_atom_site_fract_y
_atom_site_fract_z
Tl1 Tl 0.250 0.250 0.152
Tl2 Tl 0.750 0.750 0.848
Ir1 Ir 0.250 0.750 0.500
Ir2 Ir 0.750 0.250 0.500
N1 N 0.250 0.250 0.603
N2 N 0.750 0.750 0.397
O1 O 0.250 0.750 0.000
O2 O 0.750 0.250 0.000
```

=====

A plane-wave DFT calculation with PBE was carried out for TlIrNO after structural relaxation.

Calculated values
V (Å³ per atom): 15.0
Uncorrected energy (eV per atom): -6.036

Geometry as CIF:
```
data_TlIrNO
_chemical_formula_sum 'Tl4 Ir4 N4 O4'
_cell_length_a 5.215
_cell_length_b 9.163
_cell_length_c 5.007
_cell_angle_alpha 90.00
_cell_angle_beta 90.00
_cell_angle_gamma 90.00
_space_group_name_H-M_alt 'P 1'
_space_group_IT_number 1
loop_
_space_group_symop_operation_xyz
'x,y,z'
loop_
_atom_site_label
_atom_site_type_symbol
_atom_site_fract_x
_atom_site_fract_y
_atom_site_fract_z
Tl1 Tl 0.008 0.133 0.000
Tl2 Tl 0.492 0.133 0.500
Tl3 Tl 0.508 0.867 0.000
Tl4 Tl 0.992 0.867 0.500
Ir1 Ir 0.029 0.566 0.991
Ir2 Ir 0.471 0.566 0.491
Ir3 Ir 0.529 0.434 0.991
Ir4 Ir 0.971 0.434 0.491
N1 N 0.110 0.618 0.610
N2 N 0.390 0.618 0.110
N3 N 0.610 0.382 0.610
N4 N 0.890 0.382 0.110
O1 O 0.049 0.224 0.543
O2 O 0.451 0.224 0.043
O3 O 0.549 0.776 0.543
O4 O 0.951 0.776 0.043
```

=====

A plane-wave DFT calculation with PBE was carried out for TlIrNO after structural relaxation.

Calculated values
V (Å³ per atom): 17.2
Uncorrected energy (eV per atom): -5.939

Geometry as CIF:
```
data_TlIrNO
_chemical_formula_sum 'Tl2 Ir2 N2 O2'
_cell_length_a 3.790
_cell_length_b 6.314
_cell_length_c 5.746
_cell_angle_alpha 90.00
_cell_angle_beta 90.00
_cell_angle_gamma 90.00
_space_group_name_H-M_alt 'P 1'
_space_group_IT_number 1
loop_
_space_group_symop_operation_xyz
'x,y,z'
loop_
_atom_site_label
_atom_site_type_symbol
_atom_site_fract_x
_atom_site_fract_y
_atom_site_fract_z
Tl1 Tl 0.000 0.128 0.000
Tl2 Tl 0.000 0.872 0.500
Ir1 Ir 0.500 0.409 0.452
Ir2 Ir 0.500 0.591 0.952
N1 N 0.500 0.340 0.771
N2 N 0.500 0.660 0.271
O1 O 0.000 0.335 0.403
O2 O 0.000 0.665 0.903
```

=====

A plane-wave DFT calculation with PBE was carried out for TlIrNO after structural relaxation.

Calculated values
V (Å³ per atom): 16.7
Uncorrected energy (eV per atom): -5.969

Geometry as CIF:
```
data_TlIrNO
_chemical_formula_sum 'Tl2 Ir2 N2 O2'
_cell_length_a 3.326
_cell_length_b 6.280
_cell_length_c 6.410
_cell_angle_alpha 90.00
_cell_angle_beta 90.00
_cell_angle_gamma 90.00
_space_group_name_H-M_alt 'P 1'
_space_group_IT_number 1
loop_
_space_group_symop_operation_xyz
'x,y,z'
loop_
_atom_site_label
_atom_site_type_symbol
_atom_site_fract_x
_atom_site_fract_y
_atom_site_fract_z
Tl1 Tl 0.000 0.114 0.000
Tl2 Tl 0.000 0.886 0.500
Ir1 Ir 0.500 0.435 0.540
Ir2 Ir 0.500 0.565 0.040
N1 N 0.000 0.320 0.614
N2 N 0.000 0.680 0.114
O1 O 0.500 0.322 0.248
O2 O 0.500 0.678 0.748
```